Model A:
This record from OQMD describes crystalline GdCoSeO at its relaxed geometry. The functional is GGA+U.

Cell: 11.2019 11.2019 11.2019 Å, 23.19 23.19 23.19°
Last column: nearest neighbours and their distance in Å.
Element x y z (fractional)
Co: 0.6488 0.6488 0.6488  1 O 1.87
Co: 0.3512 0.3512 0.3512  1 O 1.87
Se: 0.1290 0.1290 0.1290  3 Gd 2.74
Se: 0.8710 0.8710 0.8710  3 Gd 2.74
O: 0.7059 0.7059 0.7059  1 Co 1.87, 1 Gd 2.06
O: 0.2941 0.2941 0.2941  1 Co 1.87, 1 Gd 2.06
Gd: 0.7688 0.7688 0.7688  1 O 2.06
Gd: 0.2312 0.2312 0.2312  1 O 2.06

Output
- V (Å³ per atom) = 23.9
- total magnetic moment (μB/f.u.) = 2.25
- space group = R-3m, No. 166

---

Model B:
This record from OQMD describes crystalline GdCoSeO at its relaxed geometry. The functional is GGA+U.

Cell: 12.9716 12.9716 12.9716 Å, 17.40 17.40 17.40°
Last column: nearest neighbours and their distance in Å.
Element x y z (fractional)
Co: 0.6422 0.6422 0.6422  4 O 2.07-2.27
Co: 0.3578 0.3578 0.3578  4 O 2.07-2.27
Se: 0.1270 0.1270 0.1270  3 Gd 2.73
Se: 0.8730 0.8730 0.8730  3 Gd 2.73
O: 0.6961 0.6961 0.6961  4 Co 2.07-2.27, 1 Gd 2.21
O: 0.3039 0.3039 0.3039  4 Co 2.07-2.27, 1 Gd 2.21
Gd: 0.7539 0.7539 0.7539  1 O 2.21
Gd: 0.2461 0.2461 0.2461  1 O 2.21

Output
- V (Å³ per atom) = 21.3
- total magnetic moment (μB/f.u.) = 2.36
- space group = R-3m, No. 166

---

Energy relative to the most stable one, in meV/atom: model A 28; model B 0